A plane-wave DFT calculation with PBE was carried out for a relaxed structure of NdNp5S6.

a b c (Å): 6.8030 6.8030 6.8168
angles (deg): 99.56 99.56 119.97
Closest atoms and distances in Å follow each position.
Fractional positions:
Nd1 0.0000 0.0000 0.0000  6 S 2.84-2.86
Np1 0.1634 0.8366 0.5000  6 S 2.73-2.78
Np2 0.3327 0.6673 0.0000  6 S 2.77-2.78
Np3 0.5000 0.5000 0.5000  6 S 2.71-2.78
Np4 0.6673 0.3327 0.0000  6 S 2.77-2.78
Np5 0.8366 0.1634 0.5000  6 S 2.73-2.78
S1 0.0862 0.4283 0.2574  5 Np 2.73-2.78, 1 Nd 2.86
S2 0.2587 0.2587 0.7471  5 Np 2.71-2.77, 1 Nd 2.84
S3 0.4283 0.0862 0.2574  5 Np 2.73-2.78, 1 Nd 2.86
S4 0.5717 0.9138 0.7426  5 Np 2.73-2.78, 1 Nd 2.86
S5 0.7413 0.7413 0.2529  5 Np 2.71-2.77, 1 Nd 2.84
S6 0.9138 0.5717 0.7426  5 Np 2.73-2.78, 1 Nd 2.86

## Properties
Total energy ... -9.33 eV/atom
Formation energy without anion corrections ... -1.4780 eV/atom
SG ... C2/m (12)
Calculated density ... 9.80 g/cm³